<1>
## Ce5Hg2Pt (GGA-PBE)

Data for a relaxed structure of Ce5Hg2Pt.

## Properties
SG: Pbam, No. 55
ρ: 10.099 g cm⁻³

Cell lengths 5.4321, 6.3762, 12.3131 Å; angles 90.00, 90.00, 90.00 degrees
With the nearest neighbours (Å) after each atom.
Atoms (fractional coordinates):
Ce 0.0000 0.0000 0.5000  2 Pt 3.19, 4 Hg 3.39, 2 Ce 3.45
Ce 0.0000 0.5000 0.0000  2 Pt 3.19, 4 Hg 3.39, 2 Ce 3.45
Ce 0.0000 0.8742 0.2275  1 Pt 2.91, 2 Ce 3.24
Ce 0.0000 0.1258 0.7725  1 Pt 2.91, 2 Ce 3.24
Ce 0.0000 0.6258 0.7275  1 Pt 2.91, 2 Ce 3.24
Ce 0.0000 0.3742 0.2725  1 Pt 2.91, 2 Ce 3.24
Ce 0.5000 0.6425 0.4121  1 Ce 2.83, 2 Pt 3.06, 1 Hg 3.14
Ce 0.5000 0.3575 0.5879  1 Ce 2.83, 2 Pt 3.06, 1 Hg 3.14
Ce 0.5000 0.8575 0.9121  1 Ce 2.83, 2 Pt 3.06, 1 Hg 3.14
Ce 0.5000 0.1425 0.0879  1 Ce 2.83, 2 Pt 3.06, 1 Hg 3.14
Hg 0.5000 0.6191 0.1529  10 Ce 3.14-3.46
Hg 0.5000 0.3809 0.8471  10 Ce 3.14-3.46
Hg 0.5000 0.8809 0.6529  10 Ce 3.14-3.46
Hg 0.5000 0.1191 0.3471  10 Ce 3.14-3.46
Pt 0.0000 0.5000 0.5000  8 Ce 2.91-3.19
Pt 0.0000 0.0000 0.0000  8 Ce 2.91-3.19


<2>
## Ce5Hg2Pt (GGA-PBE)

Data for a relaxed structure of Ce5Hg2Pt.

## Properties
SG: I4mm, No. 107
ρ: 10.526 g cm⁻³

Cell lengths 7.6997, 7.6997, 6.4470 Å; angles 126.69, 126.67, 90.00 degrees
With the nearest neighbours (Å) after each atom.
Atoms (fractional coordinates):
Ce 0.7455 0.2500 0.9955  1 Ce 2.89, 1 Pt 2.92, 4 Hg 3.22-3.23
Ce 0.2500 0.2499 0.9955  1 Ce 2.89, 1 Pt 2.92, 4 Hg 3.22-3.23
Ce 0.7456 0.7456 0.9956  1 Ce 2.89, 1 Pt 2.92, 4 Hg 3.22-3.23
Ce 0.2500 0.7456 0.9956  1 Ce 2.89, 1 Pt 2.92, 4 Hg 3.22-3.23
Ce 0.6464 0.6466 0.2927  4 Ce 2.89
Hg 0.2483 0.7482 0.4967  8 Ce 3.22-3.23, 2 Hg 3.45
Hg 0.7483 0.2483 0.4967  8 Ce 3.22-3.23, 2 Hg 3.45
Pt 0.1428 0.1428 0.2856  4 Ce 2.92


Energetically preferred structure: <1> | next structure: +3.2 kJ/mol of atoms